(1)
YTi2BeMo: optimized geometry, PBE.

Cell and atoms, written as extended XYZ:
```
5
Lattice="4.660 0.000 0.000 0.000 4.660 0.000 0.000 0.000 4.771" Properties=species:S:1:pos:R:3 pbc="T T T"
Y 0.000 0.000 0.000
Ti 0.000 2.330 2.385
Ti 2.330 0.000 2.385
Be 2.330 2.330 0.000
Mo 2.330 2.330 2.385
```

Calculated values
calculated density = 4.64 g/cm3
formation enthalpy at 0 K = 484.9 meV/atom

***

(2)
Hf2Mn3Al: optimized geometry, PBE.

Cell and atoms, written as extended XYZ:
```
6
Lattice="4.256 -2.463 0.000 4.256 2.463 0.000 -2.840 0.000 4.196" Properties=species:S:1:pos:R:3 pbc="T T T"
Hf -0.002 0.000 1.510
Hf 5.675 0.000 2.686
Mn 2.128 1.231 0.000
Mn 2.128 -1.231 0.000
Mn 4.256 0.000 0.000
Al 2.836 0.000 2.098
```

Calculated values
calculated density = 10.36 g/cm3
formation enthalpy at 0 K = -302.7 meV/atom

***

Among the records above, which one has the highest formation enthalpy at 0 K? YTi2BeMo

***

Number 2 is which compound? Hf2Mn3Al